# TbIn2Rh | Alexandria via LeMat-Bulk | PBE | optimized geometry
# N(E_F) in states/eV/cell: 3.11
# Crystal system: tetragonal
# ΔH_f (0 K) in eV/atom: -0.414
data_TbIn2Rh
_chemical_formula_sum 'Tb1 In2 Rh1'
_cell_length_a 3.3814
_cell_length_b 3.3814
_cell_length_c 7.5122
_cell_angle_alpha 90.00
_cell_angle_beta 90.00
_cell_angle_gamma 90.00
_symmetry_space_group_name_H-M 'P 4/m m m'
_symmetry_Int_Tables_number 123
_symmetry_space_group_name_Hall '-P 4 2'
loop_
_atom_site_label
_atom_site_fract_x
_atom_site_fract_y
_atom_site_fract_z
Tb1 0.0000 0.0000 0.0000
In1 0.5000 0.5000 0.2970
Rh1 0.0000 0.0000 0.5000

---

# Tb6In2Rh | Alexandria via LeMat-Bulk | PBE | optimized geometry
# N(E_F) in states/eV/cell: 17.35
# Crystal system: orthorhombic
# ΔE to the lowest computed polymorph in eV per atom: 0.189
# ΔH_f (0 K) in eV/atom: -0.251
data_Tb6In2Rh
_chemical_formula_sum 'Tb12 In4 Rh2'
_cell_length_a 5.1357
_cell_length_b 7.2683
_cell_length_c 14.9045
_cell_angle_alpha 90.00
_cell_angle_beta 90.00
_cell_angle_gamma 90.00
_symmetry_space_group_name_H-M 'I m m m'
_symmetry_Int_Tables_number 71
_symmetry_space_group_name_Hall '-I 2 2'
loop_
_atom_site_label
_atom_site_fract_x
_atom_site_fract_y
_atom_site_fract_z
Tb1 0.0000 0.2275 0.0000
Tb2 0.0000 0.2594 0.3457
In1 0.0000 0.5000 0.1678
Rh1 0.0000 0.5000 0.5000

---

# Tb3InRh3 | Alexandria via LeMat-Bulk | PBE | optimized geometry
# N(E_F) in states/eV/cell: 7.75
# Crystal system: hexagonal
# ΔH_f (0 K) in eV/atom: -0.562
data_Tb3InRh3
_chemical_formula_sum 'Tb6 In2 Rh6'
_cell_length_a 8.3614
_cell_length_b 8.3614
_cell_length_c 4.9840
_cell_angle_alpha 90.00
_cell_angle_beta 90.00
_cell_angle_gamma 120.00
_symmetry_space_group_name_H-M 'P 63/m'
_symmetry_Int_Tables_number 176
_symmetry_space_group_name_Hall '-P 6c'
loop_
_atom_site_label
_atom_site_fract_x
_atom_site_fract_y
_atom_site_fract_z
Tb1 0.0905 0.4127 0.2500
In1 0.3333 0.6667 0.7500
Rh1 0.0520 0.2200 0.7500

---

# Tb2InRh3 | Alexandria via LeMat-Bulk | PBE | optimized geometry
# N(E_F) in states/eV/cell: 7.24
# Crystal system: orthorhombic
# ΔE to the lowest computed polymorph in eV per atom: 0.310
# ΔH_f (0 K) in eV/atom: -0.458
data_Tb2InRh3
_chemical_formula_sum 'Tb4 In2 Rh6'
_cell_length_a 4.6387
_cell_length_b 5.4666
_cell_length_c 9.8099
_cell_angle_alpha 90.00
_cell_angle_beta 90.00
_cell_angle_gamma 90.00
_symmetry_space_group_name_H-M 'I m m m'
_symmetry_Int_Tables_number 71
_symmetry_space_group_name_Hall '-I 2 2'
loop_
_atom_site_label
_atom_site_fract_x
_atom_site_fract_y
_atom_site_fract_z
Tb1 0.0000 0.0000 0.1786
In1 0.0000 0.0000 0.5000
Rh1 0.0000 0.5000 0.1445
Rh2 0.0000 0.5000 0.5000

---

# Tb3InRh | Alexandria via LeMat-Bulk | PBE | optimized geometry
# N(E_F) in states/eV/cell: 8.53
# Crystal system: monoclinic
# ΔE to the lowest computed polymorph in eV per atom: 0.000
# ΔH_f (0 K) in eV/atom: -0.509
data_Tb3InRh
_chemical_formula_sum 'Tb6 In2 Rh2'
_cell_length_a 8.2836
_cell_length_b 4.0732
_cell_length_c 8.6814
_cell_angle_alpha 90.00
_cell_angle_beta 110.05
_cell_angle_gamma 90.00
_symmetry_space_group_name_H-M 'P 1 21/m 1'
_symmetry_Int_Tables_number 11
_symmetry_space_group_name_Hall '-P 2yb'
loop_
_atom_site_label
_atom_site_fract_x
_atom_site_fract_y
_atom_site_fract_z
Tb1 0.0482 0.2500 0.2420
Tb2 0.3190 0.7500 0.5835
Tb3 0.3247 0.2500 0.9246
In1 0.3502 0.7500 0.2192
Rh1 0.0847 0.2500 0.6115

---

# Tb3In7Rh4 | Alexandria via LeMat-Bulk | PBE | optimized geometry
# N(E_F) in states/eV/cell: 14.33
# Crystal system: monoclinic
# ΔH_f (0 K) in eV/atom: -0.526
data_Tb3In7Rh4
_chemical_formula_sum 'Tb6 In14 Rh8'
_cell_length_a 16.2562
_cell_length_b 4.4264
_cell_length_c 10.0290
_cell_angle_alpha 90.00
_cell_angle_beta 121.98
_cell_angle_gamma 90.00
_symmetry_space_group_name_H-M 'C 1 2/m 1'
_symmetry_Int_Tables_number 12
_symmetry_space_group_name_Hall '-C 2y'
loop_
_atom_site_label
_atom_site_fract_x
_atom_site_fract_y
_atom_site_fract_z
Tb1 0.0000 0.0000 0.0000
Tb2 0.1949 0.5000 0.7083
In1 0.0000 0.0000 0.5000
In2 0.0067 0.5000 0.2839
In3 0.1630 0.0000 0.4290
In4 0.1830 0.5000 0.0243
Rh1 0.1140 0.0000 0.8282
Rh2 0.1688 0.5000 0.2757

---

# Tb3In4Rh4 | Alexandria via LeMat-Bulk | PBE | optimized geometry
# N(E_F) in states/eV/cell: 16.34
# Crystal system: orthorhombic
# ΔH_f (0 K) in eV/atom: -0.613
data_Tb3In4Rh4
_chemical_formula_sum 'Tb6 In8 Rh8'
_cell_length_a 3.8134
_cell_length_b 8.0529
_cell_length_c 15.3398
_cell_angle_alpha 90.00
_cell_angle_beta 90.00
_cell_angle_gamma 90.00
_symmetry_space_group_name_H-M 'I m m m'
_symmetry_Int_Tables_number 71
_symmetry_space_group_name_Hall '-I 2 2'
loop_
_atom_site_label
_atom_site_fract_x
_atom_site_fract_y
_atom_site_fract_z
Tb1 0.0000 0.0000 0.0000
Tb2 0.0000 0.5000 0.1106
In1 0.0000 0.3071 0.3318
Rh1 0.0000 0.0000 0.2432
Rh2 0.0000 0.2018 0.5000

---

# TbTmInRh | Alexandria via LeMat-Bulk | PBE | optimized geometry
# N(E_F) in states/eV/cell: 7.78
# Crystal system: cubic
# ΔE to the lowest computed polymorph in eV per atom: 0.122
# ΔH_f (0 K) in eV/atom: -0.572
data_TbTmInRh
_chemical_formula_sum 'Tb4 Tm4 In4 Rh4'
_cell_length_a 7.1765
_cell_length_b 7.1765
_cell_length_c 7.1765
_cell_angle_alpha 90.00
_cell_angle_beta 90.00
_cell_angle_gamma 90.00
_symmetry_space_group_name_H-M 'F -4 3 m'
_symmetry_Int_Tables_number 216
_symmetry_space_group_name_Hall 'F -4 2 3'
loop_
_atom_site_label
_atom_site_fract_x
_atom_site_fract_y
_atom_site_fract_z
Tb1 0.0000 0.0000 0.0000
Tm1 0.0000 0.0000 0.5000
In1 0.2500 0.2500 0.7500
Rh1 0.2500 0.2500 0.2500